Computed, not measured: a relaxed BaLaCl2 crystal at the PBE level of DFT.

Properties
formation energy without anion corrections	-1.36	eV per atom
ΔE to the lowest computed polymorph	239	meV per atom
Fermi-level density of states	3.25	states/eV per cell
symmetry	P4/mmm

Cell: 3.744 3.744 8.026 Å, 90.00 90.00 90.00°
Each line ends with the local moment (μB).
Positions (direct):
Ba 0.500 0.500 0.750  0.31
Cl 0.000 0.000 0.044  0.01
Cl 0.000 0.000 0.456  0.01
La 0.500 0.500 0.250  0.05

---

Computed, not measured: a relaxed PmNi5Hg crystal at the PBE level of DFT.

Properties
Fermi-level density of states	35.79	states/eV per cell
DFT formation energy	-200	meV per atom
symmetry	Pnma

Cell: 4.888 8.201 10.379 Å, 90.00 90.00 90.00°
Each line ends with the local moment (μB).
Positions (direct):
Pm 0.750 0.755 0.061  -0.04
Pm 0.750 0.255 0.439  -0.04
Pm 0.250 0.245 0.939  -0.04
Pm 0.250 0.745 0.561  -0.04
Ni 0.999 0.068 0.687  0.29
Ni 0.750 0.048 0.887  0.12
Ni 0.250 0.452 0.387  0.12
Ni 0.250 0.577 0.016  0.23
Ni 0.750 0.548 0.613  0.12
Ni 0.001 0.932 0.313  0.29
Ni 0.999 0.568 0.813  0.29
Ni 0.250 0.952 0.113  0.12
Ni 0.499 0.932 0.313  0.29
Ni 0.750 0.423 0.984  0.23
Ni 0.750 0.923 0.516  0.23
Ni 0.250 0.688 0.239  0.36
Ni 0.499 0.432 0.187  0.29
Ni 0.250 0.188 0.261  0.36
Ni 0.750 0.812 0.739  0.36
Ni 0.501 0.068 0.687  0.29
Ni 0.501 0.568 0.813  0.29
Ni 0.001 0.432 0.187  0.29
Ni 0.750 0.312 0.761  0.36
Ni 0.250 0.077 0.484  0.23
Hg 0.250 0.362 0.635  -0.01
Hg 0.750 0.138 0.135  -0.01
Hg 0.250 0.862 0.865  -0.01
Hg 0.750 0.638 0.365  -0.01

---

Computed, not measured: a relaxed ZnGa2SbO6 crystal at the PBE level of DFT.

Properties
formation energy without anion corrections	-1.53	eV per atom
Fermi-level density of states	2.24	states/eV per cell
symmetry	C2/c

Cell: 5.462 6.861 6.861 Å, 86.29 82.06 82.06°
Positions (direct):
O 0.112 0.285 0.437
O 0.881 0.032 0.195
O 0.107 0.631 0.148
O 0.388 0.563 0.715
O 0.619 0.805 0.968
O 0.612 0.437 0.285
O 0.381 0.195 0.032
O 0.119 0.968 0.805
O 0.888 0.715 0.563
O 0.607 0.148 0.631
O 0.893 0.369 0.852
O 0.393 0.852 0.369
Sb 0.250 0.893 0.107
Sb 0.750 0.107 0.893
Zn 0.750 0.698 0.302
Zn 0.250 0.302 0.698
Ga 0.801 0.222 0.397
Ga 0.199 0.778 0.603
Ga 0.301 0.397 0.222
Ga 0.699 0.603 0.778

---

Number 1: V 112.5 Å³ per cell. Number 2: V 416.1 Å³ per cell. Number 3: V 252.0 Å³ per cell.